Entry 1:
Compound: ZrCoRe2
Source: the Alexandria database
Functional: PBE
Structure: relaxed

Output
**Calculated density**: 13837 kg/m³
**ΔH_f (0 K)**: 0.25 eV/atom
**Electronic total energy**: -9.891 eV/atom
**Energy above the most stable polymorph in this dataset**: 250 meV per atom

```
data_ZrCoRe2
_space_group_name_H-M_alt 'R 3 m'
_space_group_IT_number 160
_space_group_name_Hall 'R 3 -2"'
_cell_length_a 2.8115
_cell_length_b 2.8115
_cell_length_c 27.4823
_cell_angle_alpha 90.00
_cell_angle_beta 90.00
_cell_angle_gamma 120.00
loop_
_atom_site_label
_atom_site_type_symbol
_atom_site_fract_x
_atom_site_fract_y
_atom_site_fract_z
_atom_site_occupancy
Zr1 Zr 0.0000 0.0000 0.0000 1
Co1 Co 0.0000 0.0000 0.2476 1
Re1 Re 0.0000 0.0000 0.5058 1
Re2 Re 0.0000 0.0000 0.7614 1
```

---

Entry 2:
Compound: ZrCoRe2
Source: the Alexandria database
Functional: PBE
Structure: relaxed

Output
**Calculated density**: 13042 kg/m³
**ΔH_f (0 K)**: 0.50 eV/atom
**Electronic total energy**: -9.635 eV/atom
**Energy above the most stable polymorph in this dataset**: 506 meV per atom

```
data_ZrCoRe2
_space_group_name_H-M_alt 'I -4 2 d'
_space_group_IT_number 122
_space_group_name_Hall 'I -4 2bw'
_cell_length_a 3.633
_cell_length_b 3.633
_cell_length_c 20.159
_cell_angle_alpha 90.00
_cell_angle_beta 90.00
_cell_angle_gamma 90.00
loop_
_atom_site_label
_atom_site_type_symbol
_atom_site_fract_x
_atom_site_fract_y
_atom_site_fract_z
_atom_site_occupancy
Zr1 Zr 0.000 0.000 0.000 1
Co1 Co 0.000 0.000 0.500 1
Re1 Re 0.238 0.250 0.625 1
```

---

Entry 3:
Compound: Co3Rh13
Source: the Alexandria database
Functional: PBE
Structure: relaxed

Output
**Calculated density**: 11425 kg/m³
**ΔH_f (0 K)**: 0.05 eV/atom
**Electronic total energy**: -7.253 eV/atom

```
data_Co3Rh13
_space_group_name_H-M_alt 'A m m 2'
_space_group_IT_number 38
_cell_length_a 5.417
_cell_length_b 8.687
_cell_length_c 9.356
_cell_angle_alpha 90.00
_cell_angle_beta 90.00
_cell_angle_gamma 90.00
loop_
_space_group_symop_operation_xyz
'x,y,z'
'-x,-y,z'
'-x,y,z'
'x,-y,z'
'x,y+1/2,z+1/2'
'-x,-y+1/2,z+1/2'
'-x,y+1/2,z+1/2'
'x,-y+1/2,z+1/2'
loop_
_atom_site_label
_atom_site_type_symbol
_atom_site_fract_x
_atom_site_fract_y
_atom_site_fract_z
_atom_site_occupancy
Co1 Co 0.000 0.000 0.000 1
Co2 Co 0.245 0.000 0.242 1
Rh1 Rh 0.000 0.000 0.493 1
Rh2 Rh 0.000 0.247 0.329 1
Rh3 Rh 0.248 0.245 0.079 1
Rh4 Rh 0.249 0.000 0.749 1
Rh5 Rh 0.500 0.000 0.492 1
Rh6 Rh 0.500 0.000 0.997 1
Rh7 Rh 0.500 0.243 0.326 1
```

---

Entry 4:
Compound: Co2Rh
Source: the Alexandria database
Functional: PBE
Structure: relaxed

Output
**Calculated density**: 9748 kg/m³
**ΔH_f (0 K)**: 0.13 eV/atom
**Electronic total energy**: -7.055 eV/atom

```
data_Co2Rh
_space_group_name_H-M_alt 'P -6 2 m'
_space_group_IT_number 189
_space_group_name_Hall 'P -6 -2'
_cell_length_a 7.0799
_cell_length_b 7.0799
_cell_length_c 2.5990
_cell_angle_alpha 90.00
_cell_angle_beta 90.00
_cell_angle_gamma 120.00
loop_
_atom_site_label
_atom_site_type_symbol
_atom_site_fract_x
_atom_site_fract_y
_atom_site_fract_z
_atom_site_occupancy
Co1 Co 0.0000 0.3060 0.0000 1
Co2 Co 0.0000 0.6398 0.5000 1
Rh1 Rh 0.0000 0.0000 0.5000 1
Rh2 Rh 0.3333 0.6667 0.0000 1
```

---

Entry 5:
Compound: Co3Rh
Source: the Alexandria database
Functional: PBE
Structure: relaxed

Output
**Calculated density**: 9724 kg/m³
**ΔH_f (0 K)**: 0.02 eV/atom
**Electronic total energy**: -7.152 eV/atom

```
data_Co3Rh
_space_group_name_H-M_alt 'P m m n'
_space_group_IT_number 59
_cell_length_a 4.127
_cell_length_b 5.180
_cell_length_c 4.468
_cell_angle_alpha 90.00
_cell_angle_beta 90.00
_cell_angle_gamma 90.00
loop_
_space_group_symop_operation_xyz
'x,y,z'
'-x,-y,-z'
'-x+1/2,-y+1/2,z'
'x+1/2,y+1/2,-z'
'x+1/2,-y,-z'
'-x+1/2,y,z'
'-x,y+1/2,-z'
'x,-y+1/2,z'
loop_
_atom_site_label
_atom_site_type_symbol
_atom_site_fract_x
_atom_site_fract_y
_atom_site_fract_z
_atom_site_occupancy
Co1 Co 0.250 0.001 0.162 1
Co2 Co 0.250 0.750 0.682 1
Rh1 Rh 0.250 0.250 0.663 1
```

---

Entry 6:
Compound: Co4Rh
Source: the Alexandria database
Functional: PBE
Structure: relaxed

Output
**Calculated density**: 9394 kg/m³
**ΔH_f (0 K)**: 0.13 eV/atom
**Electronic total energy**: -7.026 eV/atom
**Energy above the most stable polymorph in this dataset**: 89 meV per atom

```
data_Co4Rh
_space_group_name_H-M_alt 'R -3 m'
_space_group_IT_number 166
_space_group_name_Hall '-R 3 2"'
_cell_length_a 4.0767
_cell_length_b 4.0767
_cell_length_c 12.4775
_cell_angle_alpha 90.00
_cell_angle_beta 90.00
_cell_angle_gamma 120.00
loop_
_atom_site_label
_atom_site_type_symbol
_atom_site_fract_x
_atom_site_fract_y
_atom_site_fract_z
_atom_site_occupancy
Co1 Co 0.0000 0.0000 0.0917 1
Co2 Co 0.0000 0.0000 0.2921 1
Rh1 Rh 0.0000 0.0000 0.5000 1
```

---

Entry 7:
Compound: Co4Rh
Source: the Alexandria database
Functional: PBE
Structure: relaxed

Output
**Calculated density**: 9488 kg/m³
**ΔH_f (0 K)**: 0.06 eV/atom
**Electronic total energy**: -7.091 eV/atom
**Energy above the most stable polymorph in this dataset**: 24 meV per atom

```
data_Co4Rh
_space_group_name_H-M_alt 'I m m a'
_space_group_IT_number 74
_space_group_name_Hall '-I 2b 2'
_cell_length_a 3.930
_cell_length_b 5.065
_cell_length_c 11.910
_cell_angle_alpha 90.00
_cell_angle_beta 90.00
_cell_angle_gamma 90.00
loop_
_atom_site_label
_atom_site_type_symbol
_atom_site_fract_x
_atom_site_fract_y
_atom_site_fract_z
_atom_site_occupancy
Co1 Co 0.000 0.000 0.000 1
Co2 Co 0.000 0.010 0.200 1
Co3 Co 0.000 0.250 0.390 1
Rh1 Rh 0.000 0.250 0.606 1
```

---

Entry 8:
Compound: Co5Rh4
Source: the Alexandria database
Functional: PBE
Structure: relaxed

Output
**Calculated density**: 10362 kg/m³
**ΔH_f (0 K)**: 0.06 eV/atom
**Electronic total energy**: -7.152 eV/atom

```
data_Co5Rh4
_space_group_name_H-M_alt 'I 4/m m m'
_space_group_IT_number 139
_space_group_name_Hall '-I 4 2'
_cell_length_a 7.798
_cell_length_b 7.798
_cell_length_c 3.722
_cell_angle_alpha 90.00
_cell_angle_beta 90.00
_cell_angle_gamma 90.00
loop_
_atom_site_label
_atom_site_type_symbol
_atom_site_fract_x
_atom_site_fract_y
_atom_site_fract_z
_atom_site_occupancy
Co1 Co 0.000 0.000 0.000 1
Co2 Co 0.162 0.162 0.500 1
Rh1 Rh 0.000 0.323 0.000 1
```